Record 1
Material: TaCrAs2
Method: DFT, PBE
State: optimized geometry

The value obtained for the magnetic moment is 0.00 μB per formula unit. Its total energy is -7.375 eV per atom. The calculation puts the energy above the most stable polymorph in this dataset at 43.31 kJ/mol of atoms. For the density of states at the Fermi level, the calculation gives 10.596 states/eV per cell. The calculated formation energy comes out at 0.319 eV/atom.

The space group is F-43m (No. 216) and the conventional cell measures 6.313, 6.313 and 6.313 Å, with angles of 90.00, 90.00 and 90.00 degrees. The asymmetric unit holds Ta at (0.000, 0.000, 0.000), Cr at (0.250, 0.250, 0.250), As at (0.000, 0.000, 0.500) and As at (0.250, 0.250, 0.750).

Record 2
Material: ScNbPd
Method: DFT, PBE
State: optimized geometry

The value obtained for the magnetic moment is 0.00 μB per formula unit. Its total energy is -7.463 eV per atom. The calculation puts the energy above the most stable polymorph in this dataset at 19.07 kJ/mol of atoms. For the density of states at the Fermi level, the calculation gives 4.574 states/eV per cell. The calculated formation energy comes out at -0.265 eV/atom.

The space group is Pm (No. 6) and the conventional cell measures 4.947, 3.155 and 7.331 Å, with angles of 90.00, 102.93 and 90.00 degrees. The asymmetric unit holds Sc at (0.000, 0.000, 0.000), Sc at (0.092, 0.500, 0.381), Nb at (0.575, 0.000, 0.328), Nb at (0.682, 0.500, 0.650), Pd at (0.209, 0.000, 0.695) and Pd at (0.524, 0.500, 0.013).

Record 3
Material: Nd6TaO12
Method: DFT, PBE
State: optimized geometry

The value obtained for the magnetic moment is 1.15 μB per formula unit. Its total energy is -8.483 eV per atom. The value obtained for the raw formation energy is -3.222 eV per atom. For the density of states at the Fermi level, the calculation gives 21.865 states/eV per cell.

The space group is R-3 (No. 148, hexagonal axes) and the conventional cell measures 10.2085, 10.2085 and 9.7536 Å, with angles of 90.00, 90.00 and 120.00 degrees. The asymmetric unit holds Nd at (0.0520, 0.7903, 0.1508), Ta at (0.0000, 0.0000, 0.5000), O at (0.0393, 0.8138, 0.9027) and O at (0.0402, 0.8534, 0.3917).

Record 4
Material: CaAc2SmSe4
Method: DFT, PBE
State: optimized geometry

The value obtained for the magnetic moment is 0.00 μB per formula unit. Its total energy is -5.477 eV per atom. The value obtained for the raw formation energy is -1.868 eV per atom. For the density of states at the Fermi level, the calculation gives 3.532 states/eV per cell.

The space group is P2/m (No. 10) and the conventional cell measures 7.487, 4.296 and 7.544 Å, with angles of 90.00, 109.03 and 90.00 degrees. The asymmetric unit holds Ca at (0.000, 0.000, 0.000), Ac at (0.000, 0.500, 0.500), Ac at (0.500, 0.000, 0.500), Sm at (0.500, 0.500, 0.000), Se at (0.242, 0.500, 0.228) and Se at (0.255, 0.000, 0.771).

Record 5
Material: POsPb
Method: DFT, PBE
State: optimized geometry

The value obtained for the magnetic moment is 0.00 μB per formula unit. Its total energy is -5.690 eV per atom. For the density of states at the Fermi level, the calculation gives 16.725 states/eV per cell. The calculated formation energy comes out at 1.092 eV/atom.

The space group is F-43m (No. 216) and the conventional cell measures 6.244, 6.244 and 6.244 Å, with angles of 90.00, 90.00 and 90.00 degrees. The asymmetric unit holds P at (0.000, 0.000, 0.000), Os at (0.250, 0.250, 0.750) and Pb at (0.250, 0.250, 0.250).

Record 6
Material: K2MgI2
Method: DFT, PBE
State: optimized geometry

The value obtained for the magnetic moment is 0.00 μB per formula unit. Its total energy is -2.187 eV per atom. The value obtained for the raw formation energy is -0.809 eV per atom. The calculation puts the energy above the most stable polymorph in this dataset at 6.13 kJ/mol of atoms. For the density of states at the Fermi level, the calculation gives 0.000 states/eV per cell.

The space group is I4/mmm (No. 139) and the conventional cell measures 6.682, 6.682 and 13.123 Å, with angles of 90.00, 90.00 and 90.00 degrees. The asymmetric unit holds K at (0.000, 0.500, 0.250), Mg at (0.000, 0.000, 0.000) and I at (0.000, 0.000, 0.318).

Record 7
Material: HoSc4Ru5
Method: DFT, PBE
State: optimized geometry

The value obtained for the magnetic moment is 0.00 μB per formula unit. Its total energy is -8.118 eV per atom. For the density of states at the Fermi level, the calculation gives 13.075 states/eV per cell. The calculated formation energy comes out at -0.490 eV/atom.

The space group is P4/mmm (No. 123) and the conventional cell measures 3.248, 3.248 and 16.217 Å, with angles of 90.00, 90.00 and 90.00 degrees. The asymmetric unit holds Ho at (0.000, 0.000, 0.000), Sc at (0.000, 0.000, 0.206), Sc at (0.000, 0.000, 0.402), Ru at (0.500, 0.500, 0.109), Ru at (0.500, 0.500, 0.304) and Ru at (0.500, 0.500, 0.500).

Record 8
Material: TaTl3Ni
Method: DFT, PBE
State: optimized geometry

The value obtained for the magnetic moment is 1.44 μB per formula unit. Its total energy is -3.905 eV per atom. The calculation puts the energy above the most stable polymorph in this dataset at 0.00 kJ/mol of atoms. For the density of states at the Fermi level, the calculation gives 4.217 states/eV per cell. The calculated formation energy comes out at 1.041 eV/atom.

The space group is Pm-3m (No. 221) and the conventional cell measures 4.965, 4.965 and 4.965 Å, with angles of 90.00, 90.00 and 90.00 degrees. The asymmetric unit holds Ta at (0.000, 0.000, 0.000), Tl at (0.000, 0.500, 0.500) and Ni at (0.500, 0.500, 0.500).

Record 9
Material: As3PtBr
Method: DFT, PBE
State: optimized geometry

The value obtained for the magnetic moment is 0.00 μB per formula unit. Its total energy is -3.727 eV per atom. The value obtained for the raw formation energy is 0.605 eV per atom. The calculation puts the energy above the most stable polymorph in this dataset at 0.00 kJ/mol of atoms. For the density of states at the Fermi level, the calculation gives 6.276 states/eV per cell.

The space group is Pm-3m (No. 221) and the conventional cell measures 4.989, 4.989 and 4.989 Å, with angles of 90.00, 90.00 and 90.00 degrees. The asymmetric unit holds As at (0.000, 0.000, 0.500), Pt at (0.000, 0.000, 0.000) and Br at (0.500, 0.500, 0.500).

Record 10
Material: Tm2Ga
Method: DFT, PBE
State: optimized geometry

The value obtained for the magnetic moment is 0.00 μB per formula unit. Its total energy is -4.370 eV per atom. For the density of states at the Fermi level, the calculation gives 20.226 states/eV per cell. The calculated formation energy comes out at -0.380 eV/atom.

The space group is Cmc2_1 (No. 36) and the conventional cell measures 4.533, 16.267 and 8.187 Å, with angles of 90.00, 90.00 and 90.00 degrees. The asymmetric unit holds Tm at (0.000, 0.025, 0.000), Tm at (0.000, 0.161, 0.329), Tm at (0.000, 0.326, 0.547), Tm at (0.000, 0.368, 0.142), Ga at (0.000, 0.207, 0.836) and Ga at (0.000, 0.463, 0.797).

Record 11
Material: Na3Sb
Method: DFT, PBE
State: optimized geometry

The value obtained for the magnetic moment is 0.00 μB per formula unit. Its total energy is -2.351 eV per atom. The value obtained for the raw formation energy is -0.331 eV per atom. For the density of states at the Fermi level, the calculation gives 1.289 states/eV per cell.

The space group is P6_3/mmc (No. 194) and the conventional cell measures 6.9115, 6.9115 and 5.5298 Å, with angles of 90.00, 90.00 and 120.00 degrees. The asymmetric unit holds Na at (0.1827, 0.3653, 0.2500) and Sb at (0.3333, 0.6667, 0.7500).

Record 12
Material: Zn2FeRe
Method: DFT, PBE
State: optimized geometry

The value obtained for the magnetic moment is 2.43 μB per formula unit. Its total energy is -5.659 eV per atom. The calculation puts the energy above the most stable polymorph in this dataset at 15.52 kJ/mol of atoms. For the density of states at the Fermi level, the calculation gives 5.035 states/eV per cell. The calculated formation energy comes out at 0.206 eV/atom.

The space group is Immm (No. 71) and the conventional cell measures 2.815, 4.402 and 8.809 Å, with angles of 90.00, 90.00 and 90.00 degrees. The asymmetric unit holds Zn at (0.000, 0.000, 0.239), Fe at (0.000, 0.500, 0.500) and Re at (0.000, 0.500, 0.000).